Entry from the Alexandria database: a relaxed structure of Ta2BeTe (PBE).

D(E_F)   2.95 states/eV/f.u.
Total energy   -0.5370 Ry/atom
Theoretical density   12.1 g/cm3
Raw formation energy   337 meV/atom

Cell: 5.2085 5.2085 5.2085 Å, 140.83 128.77 66.33°
Last column: nearest neighbours and their distance in Å.
Fractional coordinates of all 4 atoms:
Ta 0.0000 0.0000 0.0000  4 Be 2.85, 4 Ta 2.87-3.07, 4 Te 2.87-3.06
Ta 0.7389 0.2389 0.5000  2 Be 2.66, 4 Te 2.86, 2 Ta 2.87
Be 0.5092 0.5092 0.0000  6 Ta 2.66-2.85, 2 Te 2.78
Te 0.2617 0.7617 0.5000  2 Be 2.78, 8 Ta 2.86-3.06